# HfZn2PdAu, relaxed, DFT PBE-GGA
data_HfZn2PdAu
_chemical_formula_sum 'Hf1 Zn2 Pd1 Au1'
_cell_length_a 4.563
_cell_length_b 4.563
_cell_length_c 5.084
_cell_angle_alpha 90.00
_cell_angle_beta 90.00
_cell_angle_gamma 90.00
_space_group_name_H-M_alt 'P 4/m m m'
_space_group_IT_number 123
_space_group_name_Hall '-P 4 2'
loop_
_atom_site_label
_atom_site_type_symbol
_atom_site_fract_x
_atom_site_fract_y
_atom_site_fract_z
_atom_site_occupancy
Hf1 Hf 0.000 0.000 0.000 1
Zn1 Zn 0.000 0.500 0.500 1
Pd1 Pd 0.500 0.500 0.500 1
Au1 Au 0.500 0.500 0.000 1
# ΔE_f ... 0.415 eV/atom
# Theoretical density ... 9612 kg/m3